An optimized crystal structure of Pm3ErPb2, computed with PBE-GGA.

a b c (Å): 4.972 16.289 4.489
angles (deg): 90.00 90.00 90.00
Fractional positions:
Pm 0.000 0.000 0.000
Pm 0.000 0.324 0.000
Pm 0.000 0.676 0.000
Pm 0.500 0.176 0.000
Pm 0.500 0.500 0.000
Pm 0.500 0.824 0.000
Er 0.000 0.500 0.500
Er 0.500 0.000 0.500
Pb 0.000 0.149 0.500
Pb 0.000 0.851 0.500
Pb 0.500 0.351 0.500
Pb 0.500 0.649 0.500

Summary:
energy above the lowest structure with this stoichiometry	46	meV/atom
energy relative to the elements	-0.390	eV per atom



An optimized crystal structure of Pm8ErPb2, computed with PBE-GGA.

a b c (Å): 9.037 9.037 6.424
angles (deg): 94.52 94.52 44.64
Fractional positions:
Pm 0.083 0.083 0.397
Pm 0.150 0.658 0.102
Pm 0.293 0.293 0.665
Pm 0.342 0.850 0.898
Pm 0.658 0.150 0.102
Pm 0.707 0.707 0.335
Pm 0.850 0.342 0.898
Pm 0.917 0.917 0.603
Er 0.500 0.500 0.500
Pb 0.244 0.244 0.166
Pb 0.756 0.756 0.834

Summary:
energy relative to the elements	-0.094	eV per atom



An optimized crystal structure of Pm4ErPb3, computed with PBE-GGA.

a b c (Å): 4.993 5.026 19.066
angles (deg): 90.00 90.00 90.00
Fractional positions:
Pm 0.000 0.000 0.129
Pm 0.000 0.000 0.371
Pm 0.000 0.000 0.629
Pm 0.000 0.000 0.871
Pm 0.500 0.500 0.129
Pm 0.500 0.500 0.371
Pm 0.500 0.500 0.629
Pm 0.500 0.500 0.871
Er 0.000 0.500 0.000
Er 0.500 0.000 0.500
Pb 0.000 0.500 0.249
Pb 0.000 0.500 0.500
Pb 0.000 0.500 0.751
Pb 0.500 0.000 0.000
Pb 0.500 0.000 0.251
Pb 0.500 0.000 0.749

Summary:
energy relative to the elements	-0.371	eV per atom



An optimized crystal structure of Pm6ErPb4, computed with PBE-GGA.

a b c (Å): 10.062 10.062 4.107
angles (deg): 90.00 90.00 120.00
Fractional positions:
Pm 0.195 0.390 0.000
Pm 0.195 0.805 0.000
Pm 0.541 0.081 0.500
Pm 0.541 0.459 0.500
Pm 0.610 0.805 0.000
Pm 0.919 0.459 0.500
Er 0.000 0.000 0.500
Pb 0.317 0.159 0.000
Pb 0.333 0.667 0.500
Pb 0.841 0.159 0.000
Pb 0.841 0.683 0.000

Summary:
energy relative to the elements	-0.345	eV per atom